[1]
Compound: Sr2HoCd3
Source: the Alexandria database
Functional: GGA-PBE
Structure: relaxed

## Properties
E_form: -0.3025 eV per atom
N(E_F): 0.802 states/eV/atom
Final energy: -0.1531 Ry/atom

a = 8.7850 Å, b = 8.7850 Å, c = 7.9113 Å
α = 90.00°, β = 90.00°, γ = 143.15°
Positions (direct):
Sr (0.0000, 0.0000, 0.0000)
Sr (0.0000, 0.0000, 0.5000)
Sr (0.3350, 0.6650, 0.0000)
Sr (0.6650, 0.3350, 0.0000)
Ho (0.3326, 0.6674, 0.5000)
Ho (0.6674, 0.3326, 0.5000)
Cd (0.1735, 0.8265, 0.2780)
Cd (0.1735, 0.8265, 0.7220)
Cd (0.5000, 0.5000, 0.2700)
Cd (0.5000, 0.5000, 0.7300)
Cd (0.8265, 0.1735, 0.2780)
Cd (0.8265, 0.1735, 0.7220)

[2]
Compound: Sr2HoCd
Source: the Alexandria database
Functional: GGA-PBE
Structure: relaxed

## Properties
E_form: 0.0267 eV per atom
Energy relative to the lowest polymorph listed for this composition: 0.00 eV/f.u.
N(E_F): 0.971 states/eV/atom
Final energy: -0.1608 Ry/atom

a = 4.2605 Å, b = 4.2605 Å, c = 8.0795 Å
α = 90.00°, β = 90.00°, γ = 90.00°
Positions (direct):
Sr (0.0000, 0.0000, 0.2320)
Sr (0.0000, 0.0000, 0.7680)
Ho (0.5000, 0.5000, 0.5000)
Cd (0.5000, 0.5000, 0.0000)

[3]
Compound: SrHoCd4
Source: the Alexandria database
Functional: GGA-PBE
Structure: relaxed

## Properties
E_form: -0.2930 eV per atom
Energy relative to the lowest polymorph listed for this composition: 0.00 eV/f.u.
N(E_F): 0.593 states/eV/atom
Final energy: -0.1431 Ry/atom

a = 3.5568 Å, b = 5.0548 Å, c = 8.8203 Å
α = 90.00°, β = 90.00°, γ = 90.00°
Positions (direct):
Sr (0.0000, 0.0000, 0.0000)
Ho (0.0000, 0.5000, 0.5000)
Cd (0.5000, 0.0000, 0.3400)
Cd (0.5000, 0.0000, 0.6600)
Cd (0.5000, 0.5000, 0.1753)
Cd (0.5000, 0.5000, 0.8247)

[4]
Compound: Sr5HoCd6
Source: the Alexandria database
Functional: GGA-PBE
Structure: relaxed

## Properties
E_form: -0.3118 eV per atom
N(E_F): 0.685 states/eV/atom
Final energy: -0.1361 Ry/atom

a = 8.9165 Å, b = 8.9165 Å, c = 8.0266 Å
α = 90.00°, β = 90.00°, γ = 143.14°
Positions (direct):
Sr (0.0000, 0.0000, 0.0000)
Sr (0.3314, 0.6686, 0.0000)
Sr (0.3325, 0.6675, 0.5000)
Sr (0.6675, 0.3325, 0.5000)
Sr (0.6686, 0.3314, 0.0000)
Ho (0.0000, 0.0000, 0.5000)
Cd (0.1579, 0.8421, 0.2617)
Cd (0.1579, 0.8421, 0.7383)
Cd (0.5000, 0.5000, 0.2719)
Cd (0.5000, 0.5000, 0.7281)
Cd (0.8421, 0.1579, 0.2617)
Cd (0.8421, 0.1579, 0.7383)